Computed, not measured: a relaxed structure of HfTlMoO2 at the GGA+U level of DFT.

Results
* symmetry: P4/mmm, No. 123
* E_tot: -33.81 eV for the cell shown

a b c (Å): 4.103 4.103 6.165
angles (deg): 90.00 90.00 90.00
Positions (direct):
Hf  0.000  0.000  0.000
Tl  0.500  0.500  0.500
Mo  0.000  0.000  0.500
O  0.000  0.500  0.000
O  0.500  0.000  0.000